A plane-wave DFT calculation with GGA+U was carried out for crystalline PaMn2SnO8 at its relaxed geometry.

Unit cell a=6.805 b=6.805 c=6.805 alpha=90.00 beta=90.00 gamma=90.00
Space group I-4m2 (No. 119)
Unique sites:
Pa  0.000  0.000  0.000
Mn  0.000  0.000  0.500
Mn  0.000  0.500  0.750
Sn  0.000  0.500  0.250
O  0.000  0.193  0.292
O  0.000  0.321  0.945

## Properties
- Calculated density: 6.19 Mg/m³
- DOS(E_F): 0.399 states/eV per atom
- Energy: -7.5451 eV/atom
- Total magnetic moment: 7.000 μB/f.u.